a.
Compound: Li7Mn2Co3O12
Source: Alexandria
Functional: PBE with a Hubbard U
Structure: relaxed

Cell lengths 4.9554, 5.0904, 8.8513 Å; angles 90.00, 89.99, 108.42 degrees
Closest atoms and distances in Å follow each position.
Fractional positions:
Li (0.0000, 0.5000, 0.0000)  6 O 2.09-2.14
Li (0.4997, 0.4998, 0.1687)  6 O 2.03-2.19
Li (0.9999, 0.5000, 0.3479)  4 O 2.06-2.13
Li (0.5000, 0.5000, 0.5000)  2 O 1.96
Li (0.0001, 0.5000, 0.6521)  4 O 2.06-2.13
Li (0.5003, 0.5002, 0.8313)  6 O 2.03-2.19
Li (0.0000, 0.0000, 0.5000)  6 O 2.12-2.14
Mn (0.0001, 0.0002, 0.8329)  6 O 1.90-2.00
Mn (0.9999, 0.9998, 0.1671)  6 O 1.90-2.00
Co (0.5000, 0.0000, 0.0000)  6 O 1.94-1.95
Co (0.4999, 0.9999, 0.3410)  6 O 1.97-2.13
Co (0.5001, 0.0001, 0.6590)  6 O 1.97-2.13
O (0.2529, 0.7801, 0.8435)  1 Mn 1.93, 2 Co 1.95-2.13, 2 Li 2.10-2.16
O (0.7602, 0.7831, 0.0000)  1 Co 1.94, 2 Mn 2.00, 1 Li 2.14
O (0.2527, 0.7798, 0.1565)  1 Mn 1.93, 2 Co 1.95-2.13, 2 Li 2.09-2.16
O (0.7571, 0.7746, 0.3153)  1 Mn 1.90, 1 Co 1.98, 1 Li 2.03
O (0.2760, 0.7558, 0.5001)  4 Li 1.96-2.12, 2 Co 1.97
O (0.7575, 0.7751, 0.6847)  1 Mn 1.90, 1 Co 1.98, 1 Li 2.03
O (0.7471, 0.2199, 0.1565)  1 Mn 1.93, 2 Co 1.95-2.13, 2 Li 2.10-2.16
O (0.2425, 0.2249, 0.3153)  1 Mn 1.90, 1 Co 1.98, 1 Li 2.03
O (0.7240, 0.2442, 0.4999)  4 Li 1.96-2.12, 2 Co 1.97
O (0.2429, 0.2254, 0.6847)  1 Mn 1.90, 1 Co 1.98, 1 Li 2.03
O (0.7473, 0.2202, 0.8435)  1 Mn 1.93, 2 Co 1.95-2.13, 2 Li 2.09-2.16
O (0.2398, 0.2169, 0.0000)  1 Co 1.94, 2 Mn 2.00, 1 Li 2.14

---

b.
Compound: Li7Mn2Co3O12
Source: Alexandria
Functional: PBE with a Hubbard U
Structure: relaxed

Summary:
- DOS at the Fermi energy (states/eV/f.u.) = 3.4

Cell lengths 2.9693, 7.5910, 10.1431 Å; angles 106.49, 88.12, 99.26 degrees
Closest atoms and distances in Å follow each position.
Fractional positions:
Li (0.8228, 0.6638, 0.7263)  3 O 1.99-2.08
Li (0.1850, 0.3394, 0.2620)  5 O 2.01-2.25
Li (0.4534, 0.9913, 0.7315)  3 O 1.95-2.10
Li (0.1339, 0.3147, 0.7316)  4 O 1.97-2.13
Li (0.5348, 0.0249, 0.2720)  4 O 1.96-2.14
Li (0.8646, 0.6806, 0.2764)  4 O 2.00-2.21
Li (0.3401, 0.6715, 0.5036)  6 O 2.03-2.23
Mn (0.0054, 0.0021, 0.9995)  4 O 1.92-2.05
Mn (0.3170, 0.6569, 0.9974)  6 O 1.93-1.99
Co (0.6822, 0.3321, 0.0017)  6 O 1.93-1.97
Co (0.9855, 0.9844, 0.4974)  3 O 1.81-2.02
Co (0.6723, 0.3462, 0.5010)  3 O 1.77-1.91
O (0.3808, 0.8294, 0.8867)  2 Mn 1.94-1.95
O (0.7435, 0.4827, 0.3846)  1 Co 1.77
O (0.1379, 0.1898, 0.8954)  2 Co 1.96-1.97, 1 Mn 1.99, 1 Li 2.13
O (0.7675, 0.5082, 0.8938)  1 Co 1.94, 2 Mn 1.97
O (0.0667, 0.1725, 0.3889)  3 Li 1.99-2.06, 3 Co 1.99-2.19
O (0.4232, 0.8435, 0.3777)  4 Li 1.96-2.05, 2 Co 1.98-2.06
O (0.2650, 0.4893, 0.6183)  2 Co 1.91-2.12, 4 Li 1.97-2.08
O (0.6198, 0.1614, 0.1135)  1 Mn 1.92, 1 Co 1.93, 1 Li 2.14
O (0.9118, 0.8542, 0.6230)  1 Co 1.81, 3 Li 1.95-1.99
O (0.5852, 0.1755, 0.6092)  2 Co 1.91-2.08, 3 Li 2.01-2.10
O (0.8700, 0.8050, 0.1037)  3 Mn 1.97-2.05
O (0.2317, 0.4805, 0.1047)  1 Mn 1.93, 2 Co 1.97, 1 Li 2.15

---

Question: of the structures shown, which is the most stable? Reply: a.